No. 1
First-principles (PBE) data for a relaxed CaLaGa crystal, as listed in the Alexandria database.

Summary:
**E_form**: -0.33 eV per atom
**Final energy**: -3.65 eV/atom
**DOS(E_F)**: 5.91 states/eV per cell
**Excess energy over the best structure of this formula in the dataset**: 0.1151 eV per atom

Unit cell a=7.199 b=7.199 c=7.563 alpha=105.86 beta=105.86 gamma=29.84
Fractional positions:
Ca 0.136 0.136 0.319
Ca 0.864 0.864 0.681
La 0.133 0.133 0.818
La 0.867 0.867 0.182
Ga 0.500 0.500 0.000
Ga 0.500 0.500 0.500

---

No. 2
First-principles (PBE) data for a relaxed K4FeCl crystal, as listed in the Alexandria database.

Summary:
**Final energy**: -2.07 eV/atom
**DOS(E_F)**: 6.88 states/eV per cell
**Formation energy without anion corrections**: 0.375 eV/atom

Unit cell a=7.538 b=7.538 c=7.538 alpha=60.00 beta=60.00 gamma=60.00
Fractional positions:
K 0.125 0.125 0.125
K 0.125 0.125 0.626
K 0.125 0.626 0.125
K 0.626 0.125 0.125
Fe 0.500 0.500 0.500
Cl 0.750 0.750 0.750

---

No. 3
First-principles (PBE) data for a relaxed LiPdPb crystal, as listed in the Alexandria database.

Summary:
**E_form**: -0.24 eV per atom
**Final energy**: -3.85 eV/atom
**DOS(E_F)**: 0.96 states/eV per cell

Unit cell a=3.958 b=3.347 c=4.669 alpha=90.00 beta=90.08 gamma=90.00
Fractional positions:
Li 0.000 0.000 0.000
Pd 0.500 0.500 0.000
Pb 0.500 0.000 0.500

---

No. 4
First-principles (PBE) data for a relaxed Li3GaIr crystal, as listed in the Alexandria database.

Summary:
**E_form**: 0.41 eV per atom
**Final energy**: -3.12 eV/atom
**DOS(E_F)**: 2.77 states/eV per cell
**Excess energy over the best structure of this formula in the dataset**: 0.6921 eV per atom

Unit cell a=4.647 b=4.647 c=4.647 alpha=90.00 beta=90.00 gamma=90.00
Fractional positions:
Li 0.000 0.000 0.500
Li 0.000 0.500 0.000
Li 0.500 0.000 0.000
Ga 0.500 0.500 0.500
Ir 0.000 0.000 0.000

---

No. 5
First-principles (PBE) data for a relaxed YIn2As crystal, as listed in the Alexandria database.

Summary:
**E_form**: -0.52 eV per atom
**Final energy**: -4.67 eV/atom
**DOS(E_F)**: 1.44 states/eV per cell

Unit cell a=3.945 b=3.945 c=7.056 alpha=90.00 beta=90.00 gamma=90.00
Fractional positions:
Y 0.000 0.000 0.000
In 0.000 0.000 0.458
In 0.500 0.500 0.684
As 0.500 0.500 0.082

---

No. 6
First-principles (PBE) data for a relaxed ReAu crystal, as listed in the Alexandria database.

Summary:
**E_form**: 0.14 eV per atom
**Final energy**: -7.72 eV/atom
**DOS(E_F)**: 2.14 states/eV per cell
**Excess energy over the best structure of this formula in the dataset**: 0.0000 eV per atom

Unit cell a=2.850 b=2.850 c=9.375 alpha=90.00 beta=90.00 gamma=120.00
Fractional positions:
Re 0.333 0.667 0.109
Re 0.667 0.333 0.891
Au 0.333 0.667 0.636
Au 0.667 0.333 0.364

---

No. 7
First-principles (PBE) data for a relaxed ZrTl2Cu crystal, as listed in the Alexandria database.

Summary:
**E_form**: 0.22 eV per atom
**Final energy**: -4.12 eV/atom
**DOS(E_F)**: 1.96 states/eV per cell
**Excess energy over the best structure of this formula in the dataset**: 0.1429 eV per atom

Unit cell a=3.287 b=3.287 c=9.496 alpha=90.00 beta=90.00 gamma=119.15
Fractional positions:
Zr 0.000 0.000 0.000
Tl 0.500 0.500 0.273
Tl 0.500 0.500 0.727
Cu 0.000 0.000 0.500

---

No. 8
First-principles (PBE) data for a relaxed Rb2ScRe crystal, as listed in the Alexandria database.

Summary:
**E_form**: 1.56 eV per atom
**Final energy**: -3.62 eV/atom
**DOS(E_F)**: 7.39 states/eV per cell
**Excess energy over the best structure of this formula in the dataset**: 0.0000 eV per atom

Unit cell a=13.197 b=13.197 c=13.197 alpha=161.68 beta=161.68 gamma=26.02
Fractional positions:
Rb 0.122 0.625 0.997
Rb 0.375 0.372 0.497
Rb 0.628 0.125 0.003
Rb 0.875 0.878 0.503
Sc 0.250 0.750 0.500
Sc 0.500 0.500 0.000
Re 0.000 0.000 0.000
Re 0.750 0.250 0.500

---

No. 9
First-principles (PBE) data for a relaxed AcNiP crystal, as listed in the Alexandria database.

Summary:
**E_form**: -0.92 eV per atom
**Final energy**: -6.02 eV/atom
**DOS(E_F)**: 6.83 states/eV per cell
**Excess energy over the best structure of this formula in the dataset**: 0.1175 eV per atom

Unit cell a=6.084 b=6.063 c=7.482 alpha=90.00 beta=115.50 gamma=90.00
Fractional positions:
Ac 0.184 0.132 0.360
Ac 0.184 0.368 0.860
Ac 0.816 0.632 0.140
Ac 0.816 0.868 0.640
Ni 0.420 0.596 0.333
Ni 0.420 0.904 0.833
Ni 0.580 0.096 0.167
Ni 0.580 0.404 0.667
P 0.286 0.677 0.571
P 0.286 0.823 0.071
P 0.714 0.177 0.929
P 0.714 0.323 0.429

---

No. 10
First-principles (PBE) data for a relaxed CaTaSb2 crystal, as listed in the Alexandria database.

Summary:
**Final energy**: -5.53 eV/atom
**DOS(E_F)**: 2.30 states/eV per cell
**Formation energy without anion corrections**: -0.003 eV/atom
**Excess energy over the best structure of this formula in the dataset**: 0.3060 eV per atom

Unit cell a=5.379 b=5.379 c=3.447 alpha=99.85 beta=99.85 gamma=98.20
Fractional positions:
Ca 0.000 0.000 0.000
Ta 0.500 0.500 0.000
Sb 0.000 0.500 0.500
Sb 0.500 0.000 0.500

---

No. 11
First-principles (PBE) data for a relaxed Rb2CrCuBr6 crystal, as listed in the Alexandria database.

Summary:
**Final energy**: -3.59 eV/atom
**DOS(E_F)**: 0.02 states/eV per cell
**Formation energy without anion corrections**: -1.023 eV/atom
**Excess energy over the best structure of this formula in the dataset**: 0.0027 eV per atom

Unit cell a=7.419 b=7.419 c=7.419 alpha=119.91 beta=119.91 gamma=90.15
Fractional positions:
Rb 0.250 0.750 0.500
Rb 0.750 0.250 0.500
Cr 0.000 0.000 0.000
Cu 0.500 0.500 0.000
Br 0.245 0.245 0.489
Br 0.245 0.755 0.000
Br 0.246 0.246 0.000
Br 0.754 0.754 0.000
Br 0.755 0.245 0.000
Br 0.755 0.755 0.511

---

No. 12
First-principles (PBE) data for a relaxed Cd3Pt2Au3 crystal, as listed in the Alexandria database.

Summary:
**E_form**: -0.20 eV per atom
**Final energy**: -3.28 eV/atom
**DOS(E_F)**: 2.93 states/eV per cell

Unit cell a=4.173 b=4.180 c=8.268 alpha=90.00 beta=90.00 gamma=90.00
Fractional positions:
Cd 0.000 0.000 0.000
Cd 0.000 0.000 0.500
Cd 0.500 0.500 0.000
Pt 0.500 0.000 0.248
Pt 0.500 0.000 0.752
Au 0.000 0.500 0.250
Au 0.000 0.500 0.750
Au 0.500 0.500 0.500

---

Please write out number 1 again, unchanged.
First-principles (PBE) data for a relaxed CaLaGa crystal, as listed in the Alexandria database.

Summary:
**E_form**: -0.33 eV per atom
**Final energy**: -3.65 eV/atom
**DOS(E_F)**: 5.91 states/eV per cell
**Excess energy over the best structure of this formula in the dataset**: 0.1151 eV per atom

Unit cell a=7.199 b=7.199 c=7.563 alpha=105.86 beta=105.86 gamma=29.84
Fractional positions:
Ca 0.136 0.136 0.319
Ca 0.864 0.864 0.681
La 0.133 0.133 0.818
La 0.867 0.867 0.182
Ga 0.500 0.500 0.000
Ga 0.500 0.500 0.500

---

> final energy of number 1 (CaLaGa)?

-3.65 eV/atom

---

> Among the records above, which one has the lowest final energy?

ReAu